[1]
8
Lattice="7.4955 0.0000 0.0000 0.0000 4.8666 0.0000 0.0000 0.0000 5.8081" Properties=species:S:1:pos:R:3 comment="NdAu | the Alexandria database | PBE-GGA | relaxed" spacegroup="No. 62" m_tot_mub_per_atom=0.00 pbc="T T T"
Nd 1.3959 1.2166 0.8470
Nd 2.3519 3.6499 3.7510
Nd 5.1436 1.2166 2.0571
Nd 6.0996 3.6499 4.9612
Au 0.2991 1.2166 3.7806
Au 3.4487 3.6499 0.8766
Au 4.0468 1.2166 4.9316
Au 7.1964 3.6499 2.0275

[2]
8
Lattice="1.9239 -6.2557 0.0000 1.9239 6.2557 0.0000 0.0000 0.0000 10.1660" Properties=species:S:1:pos:R:3 comment="Nd3Au | the Alexandria database | PBE-GGA | relaxed" spacegroup="No. 63" m_tot_mub_per_atom=0.00 pbc="T T T"
Nd 1.9239 5.4616 7.6245
Nd 1.9239 1.6830 5.5920
Nd 1.9239 1.6830 9.6570
Nd 1.9239 -1.6830 0.5090
Nd 1.9239 -1.6830 4.5740
Nd 1.9239 -5.4616 2.5415
Au 1.9239 3.2977 2.5415
Au 1.9239 -3.2977 7.6245

[3]
6
Lattice="0.0000 4.0687 4.0687 4.0687 0.0000 4.0687 4.0687 4.0687 0.0000" Properties=species:S:1:pos:R:3 comment="NdAu2 | the Alexandria database | PBE-GGA | relaxed" spacegroup="No. 227" m_tot_mub_per_atom=0.00 pbc="T T T"
Nd 1.0172 1.0172 1.0172
Nd 7.1203 7.1203 7.1203
Au 4.0687 2.0344 2.0344
Au 2.0344 4.0687 2.0344
Au 2.0344 2.0344 4.0687
Au 4.0687 4.0687 4.0687

[4]
8
Lattice="7.1057 0.0000 0.0000 -3.5529 6.1538 0.0000 0.0000 0.0000 5.2979" Properties=species:S:1:pos:R:3 comment="Nd3Au | the Alexandria database | PBE-GGA | relaxed" spacegroup="No. 194" m_tot_mub_per_atom=0.00 pbc="T T T"
Nd 0.0000 2.1889 1.3245
Nd -1.6572 5.0593 1.3245
Nd 1.8956 1.0945 3.9734
Nd 1.6572 5.0593 1.3245
Nd 5.2101 1.0945 3.9734
Nd 3.5529 3.9649 3.9734
Au 0.0000 4.1025 3.9734
Au 3.5529 2.0513 1.3245

| no. | final energy (eV per atom) |
| --- | --- |
| 1 | -4.829 |
| 2 | -4.796 |
| 3 | -4.296 |
| 4 | -4.614 |